{"formula": "HgH4C8N5", "functional": "PBE", "state": "optimized geometry", "final_energy_ev_per_cell": -497.28, "cell": [[-4.157, -5.600, 1.029], [2.334, -0.346, 7.546], [-12.051, 10.972, 4.230]], "species": ["N", "C", "C", "Hg", "C", "C", "N", "H", "N", "C", "C", "C", "C", "N", "Hg", "Hg", "C", "C", "N", "C", "C", "H", "N", "H", "H", "C", "N", "N", "C", "C", "N", "N", "N", "H", "C", "C", "N", "H", "N", "N", "C", "C", "N", "C", "C", "H", "C", "H", "H", "C", "C", "H", "C", "N", "N", "Hg", "H", "C", "N", "H", "C", "C", "C", "H", "N", "N", "C", "C", "H", "H", "C", "H"], "frac_coords": [[0.970, 0.448, 0.263], [0.918, 0.180, 0.941], [0.183, 0.831, 0.990], [0.717, 0.741, 0.694], [0.929, 0.681, 0.921], [0.071, 0.319, 0.079], [0.574, 0.577, 0.066], [0.862, 0.375, 0.385], [0.912, 0.755, 0.560], [0.838, 0.675, 0.992], [0.550, 0.963, 0.161], [0.162, 0.175, 0.508], [0.870, 0.942, 0.741], [0.416, 0.491, 0.071], [0.283, 0.241, 0.806], [0.717, 0.759, 0.194], [0.082, 0.820, 0.059], [0.657, 0.915, 0.496], [0.426, 0.423, 0.934], [0.918, 0.320, 0.441], [0.343, 0.415, 0.004], [0.679, 0.106, 0.007], [0.535, 0.580, 0.364], [0.137, 0.377, 0.132], [0.821, 0.267, 0.635], [0.343, 0.085, 0.504], [0.584, 0.509, 0.929], [0.574, 0.923, 0.566], [0.082, 0.680, 0.559], [0.105, 0.739, 0.420], [0.912, 0.745, 0.060], [0.465, 0.080, 0.136], [0.535, 0.920, 0.864], [0.179, 0.767, 0.865], [0.450, 0.037, 0.839], [0.817, 0.331, 0.510], [0.416, 0.009, 0.571], [0.138, 0.875, 0.115], [0.426, 0.077, 0.434], [0.584, 0.991, 0.429], [0.105, 0.761, 0.920], [0.450, 0.463, 0.339], [0.030, 0.948, 0.237], [0.550, 0.537, 0.661], [0.183, 0.669, 0.490], [0.321, 0.606, 0.493], [0.657, 0.585, 0.996], [0.321, 0.894, 0.993], [0.863, 0.877, 0.368], [0.870, 0.558, 0.241], [0.817, 0.169, 0.010], [0.137, 0.123, 0.632], [0.130, 0.442, 0.759], [0.030, 0.552, 0.737], [0.088, 0.245, 0.440], [0.283, 0.259, 0.306], [0.679, 0.394, 0.507], [0.162, 0.325, 0.008], [0.088, 0.255, 0.940], [0.862, 0.125, 0.885], [0.130, 0.058, 0.259], [0.929, 0.819, 0.421], [0.071, 0.181, 0.579], [0.863, 0.623, 0.868], [0.465, 0.420, 0.636], [0.970, 0.052, 0.763], [0.838, 0.825, 0.492], [0.895, 0.261, 0.580], [0.138, 0.625, 0.615], [0.179, 0.733, 0.365], [0.895, 0.239, 0.080], [0.821, 0.233, 0.135]]}


{"formula": "Hg4P3H10C3NO11", "functional": "PBE", "state": "optimized geometry", "final_energy_ev_per_cell": -339.58, "cell": [[-0.689, 6.550, -5.010], [-7.565, 1.410, 3.861], [5.373, 3.884, 8.407]], "species": ["O", "O", "H", "H", "O", "P", "Hg", "O", "H", "O", "C", "H", "P", "O", "Hg", "C", "H", "C", "O", "O", "Hg", "O", "H", "H", "H", "O", "O", "H", "C", "H", "O", "O", "Hg", "O", "O", "N", "H", "H", "H", "Hg", "O", "P", "H", "H", "Hg", "O", "P", "N", "O", "O", "O", "O", "P", "C", "O", "H", "Hg", "H", "Hg", "H", "C", "P", "H", "H"], "frac_coords": [[0.329, 0.516, 0.672], [0.633, 0.444, 0.716], [0.571, 0.611, 0.927], [0.981, 0.882, 0.860], [0.458, 0.319, 0.414], [0.486, 0.429, 0.307], [0.925, 0.398, 0.360], [0.671, 0.484, 0.328], [0.921, 0.051, 0.889], [0.321, 0.175, 0.847], [0.389, 0.826, 0.945], [0.682, 0.073, 0.050], [0.944, 0.370, 0.009], [0.116, 0.055, 0.148], [0.802, 0.711, 0.520], [0.611, 0.174, 0.055], [0.603, 0.264, 0.985], [0.485, 0.939, 0.768], [0.081, 0.693, 0.867], [0.367, 0.556, 0.284], [0.345, 0.771, 0.412], [0.156, 0.964, 0.680], [0.505, 0.119, 0.322], [0.298, 0.262, 0.143], [0.429, 0.389, 0.073], [0.106, 0.743, 0.106], [0.884, 0.945, 0.852], [0.395, 0.993, 0.195], [0.426, 0.313, 0.152], [0.318, 0.927, 0.950], [0.844, 0.036, 0.320], [0.927, 0.657, 0.267], [0.655, 0.229, 0.588], [0.542, 0.681, 0.586], [0.869, 0.541, 0.981], [0.472, 0.817, 0.858], [0.495, 0.881, 0.678], [0.182, 0.309, 0.783], [0.397, 0.736, 0.015], [0.088, 0.934, 0.373], [0.073, 0.343, 0.733], [0.319, 0.071, 0.731], [0.605, 0.007, 0.805], [0.006, 0.678, 0.210], [0.912, 0.066, 0.627], [0.894, 0.257, 0.894], [0.514, 0.571, 0.693], [0.528, 0.183, 0.142], [0.627, 0.847, 0.383], [0.919, 0.307, 0.133], [0.679, 0.825, 0.153], [0.373, 0.153, 0.617], [0.681, 0.929, 0.269], [0.515, 0.061, 0.232], [0.131, 0.459, 0.019], [0.019, 0.118, 0.140], [0.198, 0.289, 0.480], [0.702, 0.738, 0.857], [0.075, 0.602, 0.640], [0.079, 0.949, 0.111], [0.574, 0.687, 0.848], [0.056, 0.630, 0.991], [0.994, 0.322, 0.790], [0.818, 0.691, 0.217]]}